Density functional theory data (GGA-PBE) for a relaxed Ce4Pm3NdS8 crystal.

uncorrected formation energy: -2.043 eV/atom
final energy: -108.46 eV per cell
total magnetization: 2.96 μB per formula unit

The structure in POSCAR format:
```
Ce4Pm3NdS8
1.0
8.0674 0.0000 0.0000
0.0000 8.0716 -0.0033
-4.0337 -4.0282 5.7076
S Nd Pm Ce
8 1 3 4
direct
0.7489 0.7511 0.0000
0.7489 0.2489 0.0000
0.2500 0.2500 0.5000
0.7500 0.7500 0.5000
0.2511 0.7511 0.5022
0.2511 0.7511 0.0000
0.7489 0.2489 0.4978
0.2511 0.2489 0.0000
0.0000 0.5000 0.0000
0.0000 0.5000 0.5000
0.5000 0.5000 0.5000
0.5000 0.5000 0.0000
0.0000 0.0000 0.5000
0.5000 0.0000 0.0000
0.0000 0.0000 0.0000
0.5000 0.0000 0.5000
```